GGA-PBE Np2Ni4Se5, optimized geometry; volume = 215 Å³ per cell; raw total energy = -6.5965 eV/atom; symmetry = No. 166; raw formation energy = -6.132 eV/f.u.; spin magnetization = 7.90 μB/cell
1.0
-1.956 -3.373 -0.392
-0.582 -1.524 -3.563
13.028 -9.822 -0.083
Np Ni Se
2 4 5
direct
0.129 0.129 0.613
0.871 0.871 0.387
0.682 0.682 0.954
0.584 0.584 0.249
0.416 0.416 0.751
0.318 0.318 0.046
0.760 0.760 0.721
0.633 0.633 0.100
0.500 0.500 0.500
0.367 0.367 0.900
0.240 0.240 0.279



GGA-PBE NpNiSe3, optimized geometry; volume = 234 Å³ per cell; raw total energy = -6.4983 eV/atom; symmetry = No. 40; raw formation energy = -3.316 eV/f.u.; spin magnetization = 5.45 μB/cell
1.0
4.491 0.000 0.000
0.000 4.694 0.000
0.000 -2.347 11.108
Np Ni Se
2 2 6
direct
0.250 0.977 0.683
0.750 0.294 0.317
0.250 0.748 0.246
0.750 0.503 0.754
0.750 0.017 0.841
0.750 0.706 0.168
0.750 0.181 0.563
0.250 0.537 0.832
0.250 0.176 0.159
0.250 0.618 0.437



GGA-PBE Sr2NpNiSe5, optimized geometry; volume = 478 Å³ per cell; raw total energy = -5.6846 eV/atom; symmetry = No. 36; raw formation energy = -11.653 eV/f.u.; spin magnetization = 3.86 μB/cell
1.0
-2.894 2.514 -1.506
2.811 -4.665 -7.559
-8.876 -8.905 2.194
Sr Np Ni Se
4 2 2 10
direct
0.888 0.776 0.843
0.120 0.241 0.699
0.112 0.224 0.343
0.880 0.759 0.199
0.805 0.609 0.524
0.195 0.391 0.024
0.570 0.140 0.922
0.430 0.860 0.422
0.349 0.697 0.020
0.698 0.395 0.872
0.502 0.004 0.765
0.305 0.610 0.675
0.957 0.914 0.506
0.651 0.303 0.520
0.302 0.605 0.372
0.498 0.996 0.265
0.695 0.390 0.175
0.043 0.086 0.006



GGA-PBE Np3Tl3NiSe8, optimized geometry; volume = 450 Å³ per cell; raw total energy = -6.0327 eV/atom; symmetry = No. 166; raw formation energy = -10.911 eV/f.u.; spin magnetization = 11.53 μB/cell
1.0
8.091 0.000 0.000
-4.045 7.011 -0.031
0.000 -4.641 7.953
Np Tl Ni Se
3 3 1 8
direct
0.500 0.000 0.500
0.500 0.500 0.500
0.000 0.500 0.500
0.000 0.000 0.000
0.000 0.500 0.000
0.500 0.500 0.000
0.000 0.000 0.500
0.264 0.529 0.293
0.736 0.471 0.707
0.781 0.562 0.312
0.219 0.438 0.688
0.781 0.031 0.312
0.219 0.969 0.688
0.249 0.031 0.312
0.751 0.969 0.688



GGA-PBE NpTlNiSe4, optimized geometry; volume = 355 Å³ per cell; raw total energy = -5.6109 eV/atom; symmetry = No. 11; raw formation energy = -4.250 eV/f.u.; spin magnetization = 3.08 μB/cell
1.0
-2.974 1.878 -5.963
-3.002 -4.901 -0.046
-5.467 3.285 6.729
Np Tl Ni Se
2 2 2 8
direct
0.736 0.750 0.449
0.264 0.250 0.551
0.736 0.750 0.951
0.264 0.250 0.049
0.251 0.750 0.343
0.749 0.250 0.657
0.019 0.507 0.710
0.981 0.007 0.290
0.981 0.493 0.290
0.019 0.993 0.710
0.450 0.750 0.174
0.550 0.250 0.826
0.425 0.750 0.593
0.575 0.250 0.407



GGA-PBE NpSi3Ni, optimized geometry; volume = 298 Å³ per cell; raw total energy = -7.2336 eV/atom; symmetry = No. 62; raw formation energy = -1.177 eV/f.u.; spin magnetization = 0.00 μB/cell
1.0
3.718 0.000 0.000
0.000 7.692 0.000
0.000 0.000 10.425
Np Si Ni
4 12 4
direct
0.750 0.898 0.024
0.250 0.602 0.524
0.750 0.398 0.476
0.250 0.102 0.976
0.250 0.603 0.065
0.750 0.397 0.935
0.250 0.103 0.435
0.750 0.897 0.565
0.250 0.318 0.691
0.750 0.182 0.191
0.250 0.818 0.809
0.750 0.621 0.742
0.250 0.379 0.258
0.750 0.121 0.758
0.750 0.682 0.309
0.250 0.879 0.242
0.250 0.022 0.652
0.250 0.522 0.848
0.750 0.478 0.152
0.750 0.978 0.348



GGA-PBE Np2Si3Ni, optimized geometry; volume = 99 Å³ per cell; raw total energy = -8.3580 eV/atom; symmetry = No. 8; raw formation energy = -2.216 eV/f.u.; spin magnetization = 3.81 μB/cell
1.0
1.147 -3.423 1.766
1.697 -3.753 -3.802
5.259 -0.550 0.092
Np Si Ni
2 3 1
direct
0.541 0.142 0.776
0.452 0.850 0.246
0.872 0.591 0.665
0.786 0.272 0.155
0.201 0.732 0.866
0.148 0.412 0.292



GGA-PBE Np2Si5Ni3, optimized geometry; volume = 302 Å³ per cell; raw total energy = -7.5499 eV/atom; symmetry = No. 72; raw formation energy = -5.159 eV/f.u.; spin magnetization = 15.60 μB/cell
1.0
5.284 0.003 1.933
2.880 7.332 0.308
0.118 -0.415 7.872
Np Si Ni
4 10 6
direct
0.265 0.869 0.601
0.235 0.399 0.131
0.735 0.131 0.399
0.765 0.601 0.869
0.345 0.051 0.260
0.155 0.740 0.949
0.655 0.949 0.740
0.845 0.260 0.051
0.250 0.229 0.771
0.750 0.771 0.229
0.250 0.500 0.500
0.750 0.500 0.500
0.250 0.771 0.229
0.750 0.229 0.771
0.109 0.255 0.527
0.391 0.473 0.745
0.891 0.745 0.473
0.609 0.527 0.255
0.250 0.000 0.000
0.750 0.000 0.000